Cd4Hg3 | PBE | optimized geometry

- energy relative to the lowest polymorph listed for this composition (meV per atom) = 17
- DFT formation energy (meV per atom) = 36
- size of the total moment (μB per cell) = 0.0

abc: 3.570 3.602 26.183
angles: 90.00 90.00 90.00
Space group Immm (No. 71)
Asymmetric unit:
Cd (0.000, 0.000, 0.072) (multiplicity 4)
Cd (0.000, 0.000, 0.215) (multiplicity 4)
Hg (0.000, 0.000, 0.357) (multiplicity 4)
Hg (0.000, 0.000, 0.500) (multiplicity 2)